(1)
Crystalline BeCr2Te at its relaxed geometry, computed with GGA-PBEsol.

**Density of states at the Fermi level**: 4.9 states/eV per cell
**Energy above the most stable polymorph in this dataset**: 0.0796 eV/atom
**E_form (uncorrected)**: 577 meV/atom
**Volume**: 14.095 A^3/atom

abc: 8.984 8.984 8.984
angles: 156.76 156.76 33.10
Positions (direct):
1 Be 0.000 0.000 0.000
2 Be 0.750 0.250 0.500
3 Cr 0.051 0.625 0.926
4 Cr 0.375 0.301 0.426
5 Cr 0.699 0.125 0.074
6 Cr 0.875 0.949 0.574
7 Te 0.250 0.750 0.500
8 Te 0.500 0.500 0.000

---

(2)
Crystalline Ba2MgAg2 at its relaxed geometry, computed with GGA-PBEsol.

**Density of states at the Fermi level**: 6.3 states/eV per cell
**Volume**: 31.936 A^3/atom
**Energy**: -0.0993 Ha/atom

abc: 8.256 8.256 4.686
angles: 90.00 90.00 90.00
Positions (direct):
1 Ba 0.177 0.323 0.000
2 Ba 0.323 0.823 0.000
3 Ba 0.677 0.177 0.000
4 Ba 0.823 0.677 0.000
5 Mg 0.000 0.000 0.500
6 Mg 0.500 0.500 0.500
7 Ag 0.122 0.622 0.500
8 Ag 0.378 0.122 0.500
9 Ag 0.622 0.878 0.500
10 Ag 0.878 0.378 0.500

---

(3)
Crystalline KScHg4 at its relaxed geometry, computed with GGA-PBEsol.

**Density of states at the Fermi level**: 4.1 states/eV per cell
**Volume**: 24.075 A^3/atom
**Energy**: -0.0632 Ha/atom

abc: 5.889 5.889 5.889
angles: 60.00 60.00 60.00
Positions (direct):
1 K 0.000 0.000 0.000
2 Sc 0.250 0.250 0.250
3 Hg 0.126 0.625 0.625
4 Hg 0.625 0.126 0.625
5 Hg 0.625 0.625 0.126
6 Hg 0.625 0.625 0.625

---

Number 1: calculated density 7.09 g/cm3. Number 2: calculated density 5.35 g/cm3. Number 3: calculated density 10.19 g/cm3.